1.
{
  "formula": "Cr2InRu",
  "functional": "PBE",
  "state": "optimized geometry",
  "e_tot_ev_per_fu": -29.54,
  "formation_energy_ev_per_atom": 0.430,
  "n_ef_per_ev_cell": 5.38,
  "spacegroup": "P4/mmm",
  "e_above_lowest_polymorph_mev_per_atom": 227,
  "lattice": [[-2.233, -3.258, 2.058], [2.491, 0.594, 3.644], [-2.032, 2.058, 1.053]],
  "species": ["Cr", "Cr", "In", "Ru"],
  "frac_coords": [[0.000, 0.000, 0.000], [0.500, 0.500, 0.000], [0.500, 0.000, 0.500], [0.000, 0.500, 0.500]]
}


2.
{
  "formula": "CrIn2Ru2",
  "functional": "PBE",
  "state": "optimized geometry",
  "e_tot_ev_per_fu": -29.92,
  "formation_energy_ev_per_atom": 0.745,
  "n_ef_per_ev_cell": 6.46,
  "spacegroup": "I4/mmm",
  "e_above_lowest_polymorph_mev_per_atom": 464,
  "lattice": [[-2.943, 0.605, -2.828], [2.614, -1.168, -2.971], [-1.928, -5.863, -2.257]],
  "species": ["Ru", "Ru", "Cr", "In", "In"],
  "frac_coords": [[0.401, 0.401, 0.198], [0.599, 0.599, 0.802], [0.000, 0.000, 0.000], [0.750, 0.250, 0.500], [0.250, 0.750, 0.500]]
}


3.
{
  "formula": "Cr2InRu",
  "functional": "PBE",
  "state": "optimized geometry",
  "e_tot_ev_per_fu": -28.32,
  "formation_energy_ev_per_atom": 0.736,
  "n_ef_per_ev_cell": 11.52,
  "spacegroup": "I-42d",
  "e_above_lowest_polymorph_mev_per_atom": 533,
  "lattice": [[-0.431, 7.093, -0.157], [-7.078, -0.441, -0.467], [-3.935, 3.375, 2.379]],
  "species": ["Ru", "Ru", "Cr", "Cr", "Cr", "Cr", "In", "In"],
  "frac_coords": [[0.500, 0.500, 0.000], [0.250, 0.750, 0.500], [0.573, 0.125, 0.250], [0.177, 0.625, 0.250], [0.375, 0.427, 0.750], [0.875, 0.823, 0.750], [0.000, 0.000, 0.000], [0.750, 0.250, 0.500]]
}